{
  "formula": "K5Rb5Na",
  "functional": "PBE",
  "state": "optimized geometry",
  "lattice": [[7.969, 0.000, 0.000], [-3.985, 12.418, 0.311], [0.000, -3.908, 8.818]],
  "species": ["K", "K", "K", "K", "K", "Rb", "Rb", "Rb", "Rb", "Rb", "Na"],
  "fractional_positions": [[0.156, 0.312, 0.932], [0.844, 0.689, 0.618], [0.500, 0.000, 0.000], [0.844, 0.688, 0.068], [0.156, 0.311, 0.382], [0.634, 0.267, 0.636], [0.366, 0.733, 0.364], [0.000, 0.000, 0.500], [0.308, 0.616, 0.806], [0.692, 0.384, 0.194], [0.000, 0.000, 0.000]],
  "dos_at_fermi_per_ev_cell": 8.984,
  "formation_enthalpy_0k_ev_per_atom": 0.050,
  "relative_energy_kcal_per_mol_atoms": 0.000
}